DFT (PBE-GGA) results for crystalline Sm3Si2Ni9Sn at its relaxed geometry.

a b c (Å): 5.892 5.892 8.868
angles (deg): 90.00 90.00 120.00
Sites, in units of the cell vectors:
1 Sm 0.333 0.667 0.695
2 Sm 0.000 0.000 0.000
3 Sm 0.667 0.333 0.305
4 Si 0.333 0.667 0.168
5 Si 0.667 0.333 0.832
6 Ni 0.860 0.140 0.732
7 Ni 0.860 0.719 0.732
8 Ni 0.281 0.140 0.732
9 Ni 0.719 0.860 0.268
10 Ni 0.140 0.281 0.268
11 Ni 0.140 0.860 0.268
12 Ni 0.500 0.000 0.000
13 Ni 0.000 0.500 0.000
14 Ni 0.500 0.500 0.000
15 Sn 0.000 0.000 0.500

Properties
Formation energy from raw total energies in eV/f.u.: -4.02
Spin magnetization in μB/f.u.: 0.00
Calculated total energy in eV/f.u.: -85.1